Record 1
{"formula": "SrCdHg2F8", "functional": "PBE", "state": "optimized geometry", "space_group": "I-4m2", "raw_formation_energy_ev_per_atom": -2.243, "lattice": [[-2.8296, 2.8296, 5.6688], [2.8296, -2.8296, 5.6688], [2.8296, 2.8296, -5.6688]], "species": ["Sr", "Cd", "Hg", "Hg", "F", "F", "F", "F", "F", "F", "F", "F"], "fractional_positions": [[0.0000, 0.0000, 0.0000], [0.2500, 0.7500, 0.5000], [0.5000, 0.5000, 0.0000], [0.7500, 0.2500, 0.5000], [0.1287, 0.1206, 0.5066], [0.1287, 0.6221, 0.0081], [0.3779, 0.3860, 0.5066], [0.3779, 0.8713, 0.9919], [0.6140, 0.1206, 0.9919], [0.6140, 0.6221, 0.4934], [0.8794, 0.3860, 0.0081], [0.8794, 0.8713, 0.4934]]}



Record 2
{"formula": "BaAlIr2", "functional": "PBE", "state": "optimized geometry", "space_group": "P4/mmm", "delta_e_f_mev_per_atom": -131, "lattice": [[3.1367, 0.0000, 0.0000], [0.0000, 3.1367, 0.0000], [0.0000, 0.0000, 7.7540]], "species": ["Ba", "Al", "Ir", "Ir"], "fractional_positions": [[0.0000, 0.0000, 0.0000], [0.0000, 0.0000, 0.5000], [0.5000, 0.5000, 0.3170], [0.5000, 0.5000, 0.6830]]}



Record 3
{"formula": "Dy6ErZn2", "functional": "PBE", "state": "optimized geometry", "space_group": "C2/m", "delta_e_f_mev_per_atom": -144, "lattice": [[6.2082, -1.8051, 0.0000], [6.2082, 1.8051, 0.0000], [-3.9149, 0.0000, 11.0447]], "species": ["Dy", "Dy", "Dy", "Dy", "Dy", "Dy", "Er", "Zn", "Zn"], "fractional_positions": [[0.0247, 0.0247, 0.3279], [0.3099, 0.3099, 0.1243], [0.3142, 0.3142, 0.4111], [0.6858, 0.6858, 0.5889], [0.6901, 0.6901, 0.8757], [0.9753, 0.9753, 0.6721], [0.0000, 0.0000, 0.0000], [0.3526, 0.3526, 0.7988], [0.6474, 0.6474, 0.2012]]}



Record 4
{"formula": "Pm3Y7Th", "functional": "PBE", "state": "optimized geometry", "space_group": "P2_1/m", "delta_e_f_mev_per_atom": 156, "lattice": [[6.9574, 0.0000, 0.0000], [0.0000, 11.2697, 0.0000], [-3.4773, 0.0000, 9.4230]], "species": ["Pm", "Pm", "Pm", "Pm", "Pm", "Pm", "Y", "Y", "Y", "Y", "Y", "Y", "Y", "Y", "Y", "Y", "Y", "Y", "Y", "Y", "Th", "Th"], "fractional_positions": [[0.0000, 0.0000, 0.0000], [0.0000, 0.5000, 0.0000], [0.2329, 0.2500, 0.4774], [0.2447, 0.7500, 0.4777], [0.7553, 0.2500, 0.5223], [0.7671, 0.7500, 0.5226], [0.0982, 0.0305, 0.6805], [0.0982, 0.4695, 0.6805], [0.1973, 0.7500, 0.8259], [0.2307, 0.2500, 0.0006], [0.3716, 0.7500, 0.1742], [0.4176, 0.0304, 0.3195], [0.4176, 0.4696, 0.3195], [0.5824, 0.5304, 0.6805], [0.5824, 0.9696, 0.6805], [0.6284, 0.2500, 0.8258], [0.7693, 0.7500, 0.9994], [0.8027, 0.2500, 0.1741], [0.9018, 0.5305, 0.3195], [0.9018, 0.9695, 0.3195], [0.5000, 0.0000, 0.0000], [0.5000, 0.5000, 0.0000]]}



Record 5
{"formula": "CaBP2Cl", "functional": "PBE", "state": "optimized geometry", "space_group": "P4/mmm", "raw_formation_energy_ev_per_atom": 1.317, "lattice": [[5.4782, 0.0000, 0.0000], [0.0000, 5.4782, 0.0000], [0.0000, 0.0000, 5.1731]], "species": ["Ca", "B", "P", "P", "Cl"], "fractional_positions": [[0.0000, 0.0000, 0.0000], [0.5000, 0.5000, 0.5000], [0.0000, 0.5000, 0.0000], [0.5000, 0.0000, 0.0000], [0.0000, 0.0000, 0.5000]]}



Record 6
{"formula": "Th2ZnGa4Pd3", "functional": "PBE", "state": "optimized geometry", "space_group": "P-4m2", "delta_e_f_mev_per_atom": -703, "lattice": [[4.3102, 0.0000, 0.0000], [0.0000, 4.3102, 0.0000], [0.0000, 0.0000, 10.4187]], "species": ["Th", "Th", "Zn", "Ga", "Ga", "Ga", "Ga", "Pd", "Pd", "Pd"], "fractional_positions": [[0.0000, 0.5000, 0.2501], [0.5000, 0.0000, 0.7499], [0.0000, 0.0000, 0.5000], [0.0000, 0.0000, 0.0000], [0.0000, 0.5000, 0.6341], [0.5000, 0.0000, 0.3659], [0.5000, 0.5000, 0.0000], [0.0000, 0.5000, 0.8699], [0.5000, 0.0000, 0.1301], [0.5000, 0.5000, 0.5000]]}



Record 7
{"formula": "LiRePb", "functional": "PBE", "state": "optimized geometry", "space_group": "F-43m", "delta_e_f_mev_per_atom": 1107, "lattice": [[0.0000, 3.1868, 3.1868], [3.1868, 0.0000, 3.1868], [3.1868, 3.1868, 0.0000]], "species": ["Li", "Re", "Pb"], "fractional_positions": [[0.0000, 0.0000, 0.0000], [0.5000, 0.5000, 0.5000], [0.7500, 0.7500, 0.7500]]}



Record 8
{"formula": "ZrIr2Pb", "functional": "PBE", "state": "optimized geometry", "space_group": "Pmm2", "delta_e_f_mev_per_atom": -42, "lattice": [[3.2317, 0.0000, 0.0000], [0.0000, 4.1156, 0.0000], [0.0000, 0.0000, 5.7246]], "species": ["Zr", "Ir", "Ir", "Pb"], "fractional_positions": [[0.0000, 0.0000, 0.0000], [0.0000, 0.0000, 0.4784], [0.5000, 0.5000, 0.1698], [0.5000, 0.5000, 0.6649]]}



Record 9
{"formula": "Na8BiP2", "functional": "PBE", "state": "optimized geometry", "space_group": "C2/m", "delta_e_f_mev_per_atom": -286, "lattice": [[4.4493, -6.6518, 0.0000], [4.4493, 6.6518, 0.0000], [-1.0010, 0.0000, 5.1659]], "species": ["Na", "Na", "Na", "Na", "Na", "Na", "Na", "Na", "Bi", "P", "P"], "fractional_positions": [[0.1213, 0.1213, 0.7851], [0.1741, 0.4513, 0.4347], [0.2487, 0.7513, 0.0000], [0.4513, 0.1741, 0.4347], [0.5487, 0.8259, 0.5653], [0.7513, 0.2487, 0.0000], [0.8259, 0.5487, 0.5653], [0.8787, 0.8787, 0.2149], [0.5000, 0.5000, 0.0000], [0.1758, 0.8242, 0.5000], [0.8242, 0.1758, 0.5000]]}



Record 10
{"formula": "NaLaCd2Ru", "functional": "PBE", "state": "optimized geometry", "space_group": "P4/mmm", "delta_e_f_mev_per_atom": -45, "lattice": [[5.4376, 0.0000, 0.0000], [0.0000, 5.4376, 0.0000], [0.0000, 0.0000, 5.0489]], "species": ["Na", "La", "Cd", "Cd", "Ru"], "fractional_positions": [[0.0000, 0.0000, 0.0000], [0.5000, 0.5000, 0.0000], [0.0000, 0.5000, 0.5000], [0.5000, 0.0000, 0.5000], [0.5000, 0.5000, 0.5000]]}



Record 11
{"formula": "Na2BiMoAu", "functional": "PBE", "state": "optimized geometry", "space_group": "P4/mmm", "delta_e_f_mev_per_atom": 853, "lattice": [[5.9150, 0.0000, 0.0000], [0.0000, 5.9150, 0.0000], [0.0000, 0.0000, 5.3925]], "species": ["Na", "Na", "Bi", "Mo", "Au"], "fractional_positions": [[0.0000, 0.5000, 0.0000], [0.5000, 0.0000, 0.0000], [0.0000, 0.0000, 0.0000], [0.0000, 0.0000, 0.5000], [0.5000, 0.5000, 0.5000]]}



Record 12
{"formula": "AlSi3C", "functional": "PBE", "state": "optimized geometry", "space_group": "Pm-3m", "raw_formation_energy_ev_per_atom": 2.129, "lattice": [[4.6816, 0.0000, 0.0000], [0.0000, 4.6816, 0.0000], [0.0000, 0.0000, 4.6816]], "species": ["Al", "Si", "Si", "Si", "C"], "fractional_positions": [[0.0000, 0.0000, 0.0000], [0.0000, 0.0000, 0.5000], [0.0000, 0.5000, 0.0000], [0.5000, 0.0000, 0.0000], [0.5000, 0.5000, 0.5000]]}